Entry 1:
The following is a DFT calculation (PBE) of K2PmHF6 after structural relaxation.

Lattice parameters (Å, degrees): 4.100 6.400 6.780 64.83 75.80 86.48
Positions (direct):
1 K 0.097 0.113 0.189
2 K 0.903 0.887 0.811
3 Pm 0.500 0.500 0.500
4 H 0.500 0.500 0.000
5 F 0.019 0.319 0.461
6 F 0.376 0.561 0.851
7 F 0.387 0.144 0.788
8 F 0.613 0.856 0.212
9 F 0.624 0.439 0.149
10 F 0.981 0.681 0.539

## Properties
- SG = P-1, No. 2
- calculated total energy (eV/atom) = -5.25

***

Entry 2:
The following is a DFT calculation (PBE) of Ca5UP5 after structural relaxation.

Lattice parameters (Å, degrees): 7.215 7.215 8.146 106.89 106.89 46.41
Positions (direct):
1 Ca 0.000 0.000 0.000
2 Ca 0.312 0.312 0.175
3 Ca 0.321 0.321 0.644
4 Ca 0.679 0.679 0.356
5 Ca 0.688 0.688 0.825
6 U 0.000 0.000 0.500
7 P 0.147 0.147 0.331
8 P 0.157 0.157 0.819
9 P 0.500 0.500 0.500
10 P 0.843 0.843 0.181
11 P 0.853 0.853 0.669

## Properties
- SG = C2/m, No. 12
- calculated total energy (eV/atom) = -5.47

***

Entry 3:
The following is a DFT calculation (PBE) of ThZnSb2N after structural relaxation.

Lattice parameters (Å, degrees): 4.054 4.054 15.083 90.00 90.00 90.00
Positions (direct):
1 Th 0.250 0.250 0.077
2 Th 0.750 0.750 0.923
3 Zn 0.250 0.250 0.611
4 Zn 0.750 0.750 0.389
5 Sb 0.250 0.250 0.432
6 Sb 0.250 0.250 0.781
7 Sb 0.750 0.750 0.219
8 Sb 0.750 0.750 0.568
9 N 0.250 0.750 0.000
10 N 0.750 0.250 0.000

## Properties
- SG = P4/nmm, No. 129
- calculated total energy (eV/atom) = -5.70
- ΔE_f (raw) (kcal/mol of atoms) = -14.86

***

Entry 4:
The following is a DFT calculation (PBE) of Ga4Sn2Pb after structural relaxation.

Lattice parameters (Å, degrees): 9.120 9.120 6.455 92.24 92.24 37.94
Positions (direct):
1 Ga 0.150 0.701 0.681
2 Ga 0.274 0.413 0.981
3 Ga 0.299 0.850 0.819
4 Ga 0.413 0.274 0.481
5 Ga 0.587 0.726 0.519
6 Ga 0.701 0.150 0.181
7 Ga 0.726 0.587 0.019
8 Ga 0.850 0.299 0.319
9 Sn 0.110 0.279 0.677
10 Sn 0.279 0.110 0.177
11 Sn 0.721 0.890 0.823
12 Sn 0.890 0.721 0.323
13 Pb 0.266 0.734 0.250
14 Pb 0.734 0.266 0.750

## Properties
- SG = C2/c, No. 15
- calculated total energy (eV/atom) = -3.36